{
  "formula": "Dy2IrRu",
  "functional": "PBE-GGA",
  "state": "optimized geometry",
  "space_group": "P4/mmm (123)",
  "dos_at_fermi_per_ev_atom": 0.395,
  "ef_kj_per_mol_atoms": -57.4,
  "cell": [[4.828, 0.000, 0.000], [0.000, 4.828, 0.000], [0.000, 0.000, 3.403]],
  "species": ["Dy", "Dy", "Ir", "Ru"],
  "frac_coords": [[0.000, 0.500, 0.000], [0.500, 0.000, 0.000], [0.000, 0.000, 0.500], [0.500, 0.500, 0.500]]
}

---

{
  "formula": "Si2Pt",
  "functional": "PBE-GGA",
  "state": "optimized geometry",
  "space_group": "Immm (71)",
  "dos_at_fermi_per_ev_atom": 0.338,
  "formation_energy_uncorrected_ev_per_atom": -0.010,
  "cell": [[2.710, 0.000, 0.000], [0.000, 3.065, 0.000], [0.000, 0.000, 10.825]],
  "species": ["Si", "Si", "Si", "Si", "Pt", "Pt"],
  "frac_coords": [[0.000, 0.000, 0.160], [0.000, 0.000, 0.840], [0.500, 0.500, 0.340], [0.500, 0.500, 0.660], [0.000, 0.000, 0.500], [0.500, 0.500, 0.000]]
}

---

{
  "formula": "Li4ErNp3Se8",
  "functional": "PBE-GGA",
  "state": "optimized geometry",
  "space_group": "R-3m (166)",
  "dos_at_fermi_per_ev_atom": 1.858,
  "formation_energy_uncorrected_ev_per_atom": -1.311,
  "cell": [[4.088, 2.360, 6.480], [-4.088, 2.360, 6.480], [0.000, -4.721, 6.480]],
  "species": ["Li", "Li", "Li", "Li", "Er", "Np", "Np", "Np", "Se", "Se", "Se", "Se", "Se", "Se", "Se", "Se"],
  "frac_coords": [[0.000, 0.000, 0.000], [0.000, 0.500, 0.500], [0.500, 0.000, 0.500], [0.500, 0.500, 0.000], [0.500, 0.500, 0.500], [0.000, 0.000, 0.500], [0.000, 0.500, 0.000], [0.500, 0.000, 0.000], [0.250, 0.250, 0.744], [0.250, 0.744, 0.250], [0.252, 0.252, 0.252], [0.256, 0.750, 0.750], [0.744, 0.250, 0.250], [0.748, 0.748, 0.748], [0.750, 0.256, 0.750], [0.750, 0.750, 0.256]]
}

---

{
  "formula": "RbI",
  "functional": "PBE-GGA",
  "state": "optimized geometry",
  "space_group": "F-43m (216)",
  "dos_at_fermi_per_ev_atom": 0.000,
  "formation_energy_uncorrected_ev_per_atom": -1.402,
  "cell": [[8.320, 0.000, 0.000], [0.000, 8.320, 0.000], [0.000, 0.000, 8.320]],
  "species": ["Rb", "Rb", "Rb", "Rb", "I", "I", "I", "I"],
  "frac_coords": [[0.000, 0.000, 0.000], [0.000, 0.500, 0.500], [0.500, 0.000, 0.500], [0.500, 0.500, 0.000], [0.250, 0.250, 0.750], [0.250, 0.750, 0.250], [0.750, 0.250, 0.250], [0.750, 0.750, 0.750]]
}

---

{
  "formula": "Tb3TlH",
  "functional": "PBE-GGA",
  "state": "optimized geometry",
  "space_group": "Pm-3m (221)",
  "dos_at_fermi_per_ev_atom": 0.989,
  "de_polymorph_mev_per_atom": 0,
  "cell": [[4.871, 0.000, 0.000], [0.000, 4.871, 0.000], [0.000, 0.000, 4.871]],
  "species": ["Tb", "Tb", "Tb", "Tl", "H"],
  "frac_coords": [[0.000, 0.000, 0.500], [0.000, 0.500, 0.000], [0.500, 0.000, 0.000], [0.500, 0.500, 0.500], [0.000, 0.000, 0.000]]
}

---

{
  "formula": "AsI4",
  "functional": "PBE-GGA",
  "state": "optimized geometry",
  "space_group": "Pm-3m (221)",
  "dos_at_fermi_per_ev_atom": 1.097,
  "de_polymorph_mev_per_atom": 311,
  "formation_energy_uncorrected_ev_per_atom": 0.192,
  "cell": [[5.744, 0.000, 0.000], [0.000, 5.744, 0.000], [0.000, 0.000, 5.744]],
  "species": ["As", "I", "I", "I", "I"],
  "frac_coords": [[0.000, 0.000, 0.000], [0.000, 0.000, 0.500], [0.000, 0.500, 0.000], [0.500, 0.000, 0.000], [0.500, 0.500, 0.500]]
}

---

{
  "formula": "ZnReSi2",
  "functional": "PBE-GGA",
  "state": "optimized geometry",
  "space_group": "I-42d (122)",
  "dos_at_fermi_per_ev_atom": 0.591,
  "formation_energy_uncorrected_ev_per_atom": 0.761,
  "cell": [[5.614, 0.000, 0.000], [0.000, 5.614, 0.000], [0.000, 0.000, 11.047]],
  "species": ["Zn", "Zn", "Zn", "Zn", "Re", "Re", "Re", "Re", "Si", "Si", "Si", "Si", "Si", "Si", "Si", "Si"],
  "frac_coords": [[0.000, 0.000, 0.000], [0.000, 0.500, 0.250], [0.500, 0.000, 0.750], [0.500, 0.500, 0.500], [0.000, 0.000, 0.500], [0.000, 0.500, 0.750], [0.500, 0.000, 0.250], [0.500, 0.500, 0.000], [0.225, 0.250, 0.625], [0.250, 0.725, 0.875], [0.250, 0.775, 0.375], [0.275, 0.250, 0.125], [0.725, 0.750, 0.125], [0.750, 0.225, 0.375], [0.750, 0.275, 0.875], [0.775, 0.750, 0.625]]
}

---

{
  "formula": "NaBiCl3",
  "functional": "PBE-GGA",
  "state": "optimized geometry",
  "space_group": "Pm-3m (221)",
  "dos_at_fermi_per_ev_atom": 0.815,
  "de_polymorph_mev_per_atom": 559,
  "formation_energy_uncorrected_ev_per_atom": -0.647,
  "cell": [[5.010, 0.000, 0.000], [0.000, 5.010, 0.000], [0.000, 0.000, 5.010]],
  "species": ["Na", "Bi", "Cl", "Cl", "Cl"],
  "frac_coords": [[0.000, 0.000, 0.000], [0.500, 0.500, 0.500], [0.000, 0.000, 0.500], [0.000, 0.500, 0.000], [0.500, 0.000, 0.000]]
}

---

{
  "formula": "BNF2",
  "functional": "PBE-GGA",
  "state": "optimized geometry",
  "space_group": "R-3m (166)",
  "dos_at_fermi_per_ev_atom": 0.312,
  "de_polymorph_mev_per_atom": 0,
  "formation_energy_uncorrected_ev_per_atom": 0.393,
  "cell": [[2.538, 0.000, 0.000], [-1.269, 2.198, 0.000], [0.000, 0.000, 25.590]],
  "species": ["B", "B", "B", "N", "N", "N", "F", "F", "F", "F", "F", "F"],
  "frac_coords": [[0.000, 0.000, 0.000], [0.333, 0.667, 0.667], [0.667, 0.333, 0.333], [0.000, 0.000, 0.500], [0.333, 0.667, 0.167], [0.667, 0.333, 0.833], [0.000, 0.000, 0.052], [0.000, 0.000, 0.948], [0.333, 0.667, 0.614], [0.333, 0.667, 0.719], [0.667, 0.333, 0.281], [0.667, 0.333, 0.386]]
}

---

{
  "formula": "SrZr2Sb",
  "functional": "PBE-GGA",
  "state": "optimized geometry",
  "space_group": "P4mm (99)",
  "dos_at_fermi_per_ev_atom": 0.987,
  "formation_energy_uncorrected_ev_per_atom": -0.262,
  "cell": [[3.746, 0.000, 0.000], [0.000, 3.746, 0.000], [0.000, 0.000, 8.123]],
  "species": ["Sr", "Zr", "Zr", "Sb"],
  "frac_coords": [[0.000, 0.000, 0.000], [0.000, 0.000, 0.539], [0.500, 0.500, 0.334], [0.500, 0.500, 0.715]]
}

---

{
  "formula": "ZrTe2W",
  "functional": "PBE-GGA",
  "state": "optimized geometry",
  "space_group": "C2/m (12)",
  "dos_at_fermi_per_ev_atom": 1.090,
  "de_polymorph_mev_per_atom": 643,
  "formation_energy_uncorrected_ev_per_atom": 0.515,
  "cell": [[6.197, 0.000, 0.000], [0.000, 9.195, 0.000], [-1.651, 0.000, 3.134]],
  "species": ["Zr", "Zr", "Te", "Te", "Te", "Te", "W", "W"],
  "frac_coords": [[0.000, 0.000, 0.000], [0.500, 0.500, 0.000], [0.250, 0.250, 0.500], [0.250, 0.750, 0.500], [0.750, 0.250, 0.500], [0.750, 0.750, 0.500], [0.000, 0.500, 0.000], [0.500, 0.000, 0.000]]
}

---

{
  "formula": "Pr2PuTc",
  "functional": "PBE-GGA",
  "state": "optimized geometry",
  "space_group": "R-3m (166)",
  "dos_at_fermi_per_ev_atom": 3.268,
  "ef_kj_per_mol_atoms": 49.7,
  "cell": [[3.466, 0.000, 0.000], [-1.733, 3.002, 0.000], [0.000, 0.000, 33.049]],
  "species": ["Pr", "Pr", "Pr", "Pr", "Pr", "Pr", "Pu", "Pu", "Pu", "Tc", "Tc", "Tc"],
  "frac_coords": [[0.000, 0.000, 0.102], [0.000, 0.000, 0.898], [0.333, 0.667, 0.564], [0.333, 0.667, 0.769], [0.667, 0.333, 0.231], [0.667, 0.333, 0.436], [0.000, 0.000, 0.000], [0.333, 0.667, 0.667], [0.667, 0.333, 0.333], [0.000, 0.000, 0.500], [0.333, 0.667, 0.167], [0.667, 0.333, 0.833]]
}

---

{
  "formula": "Ac2Zn9Ir3",
  "functional": "PBE-GGA",
  "state": "optimized geometry",
  "space_group": "C2/c (15)",
  "dos_at_fermi_per_ev_atom": 0.547,
  "ef_kj_per_mol_atoms": -30.5,
  "cell": [[7.015, -3.745, 0.000], [7.015, 3.745, 0.000], [-5.045, 0.000, 9.781]],
  "species": ["Ac", "Ac", "Ac", "Ac", "Zn", "Zn", "Zn", "Zn", "Zn", "Zn", "Zn", "Zn", "Zn", "Zn", "Zn", "Zn", "Zn", "Zn", "Zn", "Zn", "Zn", "Zn", "Ir", "Ir", "Ir", "Ir", "Ir", "Ir"],
  "frac_coords": [[0.102, 0.248, 0.237], [0.248, 0.102, 0.737], [0.752, 0.898, 0.263], [0.898, 0.752, 0.763], [0.040, 0.841, 0.088], [0.159, 0.960, 0.412], [0.195, 0.376, 0.560], [0.243, 0.566, 0.254], [0.332, 0.495, 0.981], [0.347, 0.653, 0.750], [0.376, 0.195, 0.060], [0.434, 0.757, 0.246], [0.495, 0.332, 0.481], [0.505, 0.668, 0.519], [0.566, 0.243, 0.754], [0.624, 0.805, 0.940], [0.653, 0.347, 0.250], [0.668, 0.505, 0.019], [0.757, 0.434, 0.746], [0.805, 0.624, 0.440], [0.841, 0.040, 0.588], [0.960, 0.159, 0.912], [0.000, 0.500, 0.000], [0.137, 0.689, 0.491], [0.311, 0.863, 0.009], [0.500, 0.000, 0.500], [0.689, 0.137, 0.991], [0.863, 0.311, 0.509]]
}